(1)
## Pu8PdPt5 (PBE)

Data for a relaxed Pu8PdPt5 crystal.

For the total magnetization, the calculation gives 89.6 μB per cell. The uncorrected energy is -317.75 eV/cell. The value obtained for the volume is 23.6 A^3/atom. The crystal system is tetragonal.

It has space group I-4 (No. 82), with a = 8.706 Å, b = 8.706 Å, c = 8.707 Å, α = 90.00°, β = 90.00° and γ = 90.00°. Symmetry generates all atoms from Pu at (0.071, 0.324, 0.447), Pu at (0.073, 0.179, 0.805), Pd at (0.000, 0.000, 0.500), Pt at (0.000, 0.500, 0.750) and Pt at (0.126, 0.250, 0.126).

=====

(2)
## K3LiTl2I6 (PBE)

Data for a relaxed K3LiTl2I6 crystal.

For the total magnetization, the calculation gives 0.0 μB per cell. The uncorrected energy is -65.68 eV/cell. The value obtained for the volume is 42.5 A^3/atom. The crystal system is monoclinic.

It has space group C2/m (No. 12), with a = 8.581 Å, b = 14.868 Å, c = 8.490 Å, α = 90.00°, β = 109.82° and γ = 90.00°. Symmetry generates all atoms from K at (0.000, 0.000, 0.000), K at (0.000, 0.326, 0.000), Li at (0.000, 0.500, 0.500), Tl at (0.000, 0.164, 0.500), I at (0.223, 0.500, 0.268) and I at (0.231, 0.346, 0.734).